An optimized crystal structure of Tm3BiTe, computed with PBE.

Computed properties:
- Total DFT energy (no corrections): -0.1750 Ha/atom
- N(E_F): 0.978 states/eV per atom

a b c (Å): 8.7090 6.3339 10.6294
angles (deg): 90.00 104.57 90.00
With the nearest neighbours (Å) after each atom.
Space group P2_1/c (No. 14)
Inequivalent atoms, fractional coordinates:
Tm1 0.0353 0.1101 0.2948 x4  3 Te 3.06-3.15, 1 Bi 3.26, 4 Tm 3.32-3.41
Tm2 0.1719 0.6359 0.5229 x4  3 Te 3.08-3.41, 2 Bi 3.13-3.20, 3 Tm 3.37-3.41
Tm3 0.4135 0.1910 0.8802 x4  4 Bi 3.21-3.39, 2 Te 3.22-3.47, 4 Tm 3.43-3.56
Bi1 0.3495 0.6845 0.8238 x4  7 Tm 3.13-3.39
Te1 0.1857 0.1631 0.5910 x4  7 Tm 3.06-3.41